Here is a relaxed LaZnRh2 crystal from Alexandria via LeMat-Bulk. Energies are from GGA-PBE.

a = 7.434 Å, b = 5.986 Å, c = 8.179 Å
α = 90.00°, β = 90.00°, γ = 90.00°
Positions (direct):
Rh 0.000 0.500 0.000
Rh 0.500 0.000 0.500
Rh 0.708 0.750 0.968
Rh 0.500 0.500 0.500
Rh 0.708 0.250 0.032
Rh 0.292 0.750 0.968
Rh 0.000 0.000 0.000
Rh 0.292 0.250 0.032
Zn 0.000 0.250 0.260
Zn 0.000 0.750 0.740
Zn 0.500 0.250 0.266
Zn 0.500 0.750 0.734
La 0.000 0.750 0.298
La 0.000 0.250 0.702
La 0.500 0.250 0.780
La 0.500 0.750 0.220

D(E_F) = 7.8 states/eV per cell
crystal system = orthorhombic
calculated formation energy = -0.112 eV/atom



Here is a relaxed Li4LuSn crystal from Alexandria via LeMat-Bulk. Energies are from GGA-PBE.

a = 5.480 Å, b = 5.480 Å, c = 5.480 Å
α = 60.00°, β = 60.00°, γ = 60.00°
Positions (direct):
Li 0.625 0.625 0.124
Li 0.124 0.625 0.625
Li 0.625 0.124 0.625
Li 0.625 0.625 0.625
Sn 0.000 0.000 0.000
Lu 0.250 0.250 0.250

D(E_F) = 2.6 states/eV per cell
crystal system = cubic
calculated formation energy = -0.142 eV/atom



Here is a relaxed AlCoSn2Pb crystal from Alexandria via LeMat-Bulk. Energies are from GGA-PBE.

a = 5.047 Å, b = 4.591 Å, c = 5.047 Å
α = 90.00°, β = 90.00°, γ = 90.00°
Positions (direct):
Sn 0.000 0.000 0.500
Sn 0.500 0.000 0.000
Al 0.000 0.500 0.000
Co 0.000 0.000 0.000
Pb 0.500 0.500 0.500

D(E_F) = 4.6 states/eV per cell
crystal system = tetragonal
calculated formation energy = 0.108 eV/atom



Here is a relaxed CaNbCu crystal from Alexandria via LeMat-Bulk. Energies are from GGA-PBE.

a = 4.805 Å, b = 5.970 Å, c = 4.937 Å
α = 114.37°, β = 89.98°, γ = 90.01°
Positions (direct):
Cu 0.728 0.845 0.544
Cu 0.728 0.672 0.958
Nb 0.228 0.685 0.272
Nb 0.228 0.832 0.846
Ca 0.227 0.259 0.624
Ca 0.727 0.258 0.174

D(E_F) = 4.7 states/eV per cell
crystal system = orthorhombic
relative energy among the computed polymorphs = 0.446 eV per formula unit
calculated formation energy = 0.301 eV/atom



Here is a relaxed LiTl2TeS crystal from Alexandria via LeMat-Bulk. Energies are from GGA-PBE.

a = 5.761 Å, b = 5.761 Å, c = 4.500 Å
α = 90.00°, β = 90.00°, γ = 90.00°
Positions (direct):
Te 0.500 0.500 0.500
Li 0.000 0.000 0.500
Tl 0.500 0.000 0.000
Tl 0.000 0.500 0.000
S 0.000 0.000 0.000

energy relative to the elements, uncorrected = -371 meV per atom
D(E_F) = 4.5 states/eV per cell
crystal system = tetragonal



Here is a relaxed CsKHI crystal from Alexandria via LeMat-Bulk. Energies are from GGA-PBE.

a = 5.101 Å, b = 5.101 Å, c = 17.243 Å
α = 81.49°, β = 81.49°, γ = 60.00°
Positions (direct):
K 0.755 0.755 0.735
K 0.245 0.245 0.265
H 0.198 0.198 0.406
H 0.802 0.802 0.594
Cs 0.000 0.000 0.000
Cs 0.500 0.500 0.500
I 0.618 0.618 0.145
I 0.382 0.382 0.855

crystal system = trigonal
relative energy among the computed polymorphs = 0.000 eV per formula unit



no.,spin magnetization (μB/f.u.),V (Å³/atom)
1,0.0,22.8
2,0.0,19.4
3,0.0,23.4
4,0.0,21.5
5,0.0,29.9
6,0.0,47.8